Record 1
{
  "formula": "PmNd5Dy5",
  "functional": "PBE",
  "state": "relaxed",
  "magnetic_moment_mub_per_atom": 0.000,
  "rho_g_cm3": 7.4,
  "ef_ev_per_atom": 0.14,
  "e_tot_ev_per_cell": -50.0,
  "cell": [[6.693, -1.769, 1.173], [-1.261, 6.960, 4.765], [-1.160, 1.778, 9.443]],
  "species": ["Pm", "Nd", "Nd", "Nd", "Nd", "Nd", "Dy", "Dy", "Dy", "Dy", "Dy"],
  "fractional_positions": [[0.000, 0.000, 0.000], [0.137, 0.486, 0.155], [0.255, 0.091, 0.639], [0.500, 0.000, 0.000], [0.745, 0.909, 0.361], [0.863, 0.514, 0.845], [0.280, 0.027, 0.323], [0.354, 0.514, 0.792], [0.000, 0.500, 0.500], [0.646, 0.486, 0.208], [0.720, 0.973, 0.677]]
}

***

Record 2
{
  "formula": "ZnRh2Br",
  "functional": "PBE",
  "state": "relaxed",
  "magnetic_moment_mub_per_atom": 0.120,
  "rho_g_cm3": 8.6,
  "e_tot_ev_per_cell": -16.6,
  "cell": [[-6.495, -1.234, -5.068], [-7.673, -2.208, -2.376], [-7.699, 0.808, -3.076]],
  "species": ["Br", "Rh", "Rh", "Zn"],
  "fractional_positions": [[0.746, 0.746, 0.746], [0.996, 0.996, 0.996], [0.250, 0.250, 0.250], [0.507, 0.507, 0.507]]
}

***

Record 3
{
  "formula": "NpAlSi2",
  "functional": "PBE",
  "state": "relaxed",
  "magnetic_moment_mub_per_atom": 0.687,
  "rho_g_cm3": 7.8,
  "e_tot_ev_per_cell": -28.4,
  "cell": [[-1.558, 1.535, -3.199], [-3.699, 0.314, 1.952], [1.033, 3.838, 1.338]],
  "species": ["Np", "Si", "Si", "Al"],
  "fractional_positions": [[0.500, 0.500, 0.500], [0.000, 0.000, 0.500], [0.000, 0.500, 0.000], [0.500, 0.000, 0.000]]
}

***

Record 4
{
  "formula": "Mn2AgPd",
  "functional": "PBE",
  "state": "relaxed",
  "magnetic_moment_mub_per_atom": 2.154,
  "rho_g_cm3": 8.4,
  "ef_ev_per_atom": 0.07,
  "e_tot_ev_per_cell": -26.1,
  "cell": [[3.184, 0.000, 0.000], [0.000, 3.184, 0.000], [0.000, 0.000, 6.313]],
  "species": ["Mn", "Mn", "Pd", "Ag"],
  "fractional_positions": [[0.000, 0.000, 0.761], [0.000, 0.000, 0.239], [0.500, 0.500, 0.000], [0.500, 0.500, 0.500]]
}

***

Record 5
{
  "formula": "ZrAsPPt2",
  "functional": "PBE",
  "state": "relaxed",
  "magnetic_moment_mub_per_atom": 0.000,
  "rho_g_cm3": 9.9,
  "ef_ev_per_atom": -0.19,
  "e_tot_ev_per_cell": -31.6,
  "cell": [[4.462, 0.000, 0.000], [0.000, 4.954, 0.000], [0.000, 0.000, 4.462]],
  "species": ["P", "As", "Zr", "Pt", "Pt"],
  "fractional_positions": [[0.000, 0.000, 0.000], [0.500, 0.500, 0.500], [0.000, 0.500, 0.000], [0.000, 0.000, 0.500], [0.500, 0.000, 0.000]]
}

***

Record 6
{
  "formula": "MnPt2Au6",
  "functional": "PBE",
  "state": "relaxed",
  "magnetic_moment_mub_per_atom": 0.496,
  "rho_g_cm3": 17.6,
  "ef_ev_per_atom": -0.06,
  "e_tot_ev_per_cell": -41.4,
  "cell": [[-1.525, -3.625, -0.903], [3.306, 0.000, -5.584], [4.340, -0.769, 4.773]],
  "species": ["Mn", "Pt", "Pt", "Au", "Au", "Au", "Au", "Au", "Au"],
  "fractional_positions": [[0.500, 0.500, 0.000], [0.948, 0.174, 0.896], [0.052, 0.826, 0.104], [0.391, 0.831, 0.781], [0.609, 0.169, 0.219], [0.720, 0.833, 0.440], [0.162, 0.503, 0.323], [0.280, 0.167, 0.560], [0.838, 0.497, 0.677]]
}

***

Record 7
{
  "formula": "La2Sb3PdPt4",
  "functional": "PBE",
  "state": "relaxed",
  "magnetic_moment_mub_per_atom": 0.000,
  "rho_g_cm3": 11.4,
  "e_tot_ev_per_cell": -60.2,
  "cell": [[4.554, 0.000, 0.000], [0.000, 4.554, 0.000], [0.000, 0.000, 10.778]],
  "species": ["La", "La", "Sb", "Sb", "Sb", "Pd", "Pt", "Pt", "Pt", "Pt"],
  "fractional_positions": [[0.500, 0.000, 0.254], [0.000, 0.500, 0.746], [0.000, 0.000, 0.500], [0.500, 0.000, 0.870], [0.000, 0.500, 0.130], [0.500, 0.500, 0.500], [0.500, 0.500, 0.000], [0.000, 0.000, 0.000], [0.500, 0.000, 0.632], [0.000, 0.500, 0.368]]
}

***

Record 8
{
  "formula": "PmHoPd4",
  "functional": "PBE",
  "state": "relaxed",
  "magnetic_moment_mub_per_atom": 0.000,
  "rho_g_cm3": 9.1,
  "ef_ev_per_atom": -0.58,
  "e_tot_ev_per_cell": -33.6,
  "cell": [[-1.715, -3.044, -1.837], [1.950, 0.900, -3.313], [6.470, -5.105, 2.420]],
  "species": ["Pm", "Ho", "Pd", "Pd", "Pd", "Pd"],
  "fractional_positions": [[0.501, 0.497, 0.998], [0.001, 0.997, 0.498], [0.501, 0.997, 0.255], [0.501, 0.997, 0.742], [0.001, 0.497, 0.742], [0.001, 0.497, 0.255]]
}

***

Record 9
{
  "formula": "Cu2Ag2Se",
  "functional": "PBE",
  "state": "relaxed",
  "magnetic_moment_mub_per_atom": 0.000,
  "rho_g_cm3": 8.4,
  "e_tot_ev_per_cell": -34.0,
  "cell": [[6.409, 0.000, 0.000], [0.000, 6.409, 0.000], [0.000, 0.000, 4.072]],
  "species": ["Cu", "Cu", "Cu", "Cu", "Se", "Se", "Ag", "Ag", "Ag", "Ag"],
  "fractional_positions": [[0.363, 0.863, 0.000], [0.863, 0.637, 0.000], [0.637, 0.137, 0.000], [0.137, 0.363, 0.000], [0.000, 0.000, 0.000], [0.500, 0.500, 0.000], [0.157, 0.657, 0.500], [0.657, 0.843, 0.500], [0.843, 0.343, 0.500], [0.343, 0.157, 0.500]]
}

***

Record 10
{
  "formula": "CaMn2Cu",
  "functional": "PBE",
  "state": "relaxed",
  "magnetic_moment_mub_per_atom": 1.760,
  "rho_g_cm3": 5.1,
  "ef_ev_per_atom": 0.49,
  "e_tot_ev_per_cell": -22.5,
  "cell": [[3.894, 0.000, 0.000], [0.000, 4.152, 0.000], [0.000, 0.000, 4.317]],
  "species": ["Ca", "Mn", "Mn", "Cu"],
  "fractional_positions": [[0.500, 0.000, 0.500], [0.000, 0.000, 0.000], [0.500, 0.500, 0.000], [0.000, 0.500, 0.500]]
}

***

Record 11
{
  "formula": "Be2CdIr",
  "functional": "PBE",
  "state": "relaxed",
  "magnetic_moment_mub_per_atom": 0.000,
  "rho_g_cm3": 8.5,
  "ef_ev_per_atom": 0.26,
  "e_tot_ev_per_cell": -32.4,
  "cell": [[4.006, 0.000, 0.000], [0.000, 4.006, 0.000], [2.003, 2.003, 7.864]],
  "species": ["Be", "Be", "Be", "Be", "Ir", "Ir", "Cd", "Cd"],
  "fractional_positions": [[0.797, 0.125, 0.250], [0.953, 0.625, 0.250], [0.375, 0.203, 0.750], [0.875, 0.047, 0.750], [0.000, 0.000, 0.000], [0.750, 0.250, 0.500], [0.500, 0.500, 0.000], [0.250, 0.750, 0.500]]
}

***

Record 12
{
  "formula": "MnHg2Te",
  "functional": "PBE",
  "state": "relaxed",
  "magnetic_moment_mub_per_atom": 1.141,
  "rho_g_cm3": 9.1,
  "e_tot_ev_per_cell": -12.4,
  "cell": [[7.291, -0.010, 0.003], [6.262, 3.733, 0.003], [1.134, 0.311, 3.889]],
  "species": ["Hg", "Hg", "Mn", "Te"],
  "fractional_positions": [[0.046, 0.046, 0.954], [0.454, 0.454, 0.546], [0.750, 0.750, 0.750], [0.250, 0.250, 0.250]]
}